(1)
Compound: Zr3FeN2
Source: OQMD
Functional: GGA-PBE
Structure: relaxed

Cell and atoms, written as POSCAR:
```
Zr3FeN2
1.0
3.2308 0.0000 0.0000
-1.6154 2.7979 0.0000
0.0000 0.0000 18.6053
Zr Fe N
6 2 4
Cartesian
0.0000 0.0000 0.0000
0.0000 0.0000 9.3027
0.0000 1.8653 2.7086
0.0000 1.8653 6.5941
1.6154 0.9326 12.0113
1.6154 0.9326 15.8967
0.0000 0.0000 4.6513
0.0000 0.0000 13.9540
0.0000 1.8653 10.6338
0.0000 1.8653 17.2742
1.6154 0.9326 1.3312
1.6154 0.9326 7.9715
```

calculated total energy: -0.69661 Ry/atom
space group: P6_3/mmc, No. 194

(2)
Compound: Na2Fe
Source: OQMD
Functional: GGA-PBE
Structure: relaxed

Cell and atoms, written as POSCAR:
```
Na2Fe
1.0
0.0000 3.9426 3.9426
3.9426 0.0000 3.9426
3.9426 3.9426 0.0000
Na Fe
4 2
Cartesian
0.0000 0.0000 0.0000
1.9713 1.9713 0.0000
1.9713 0.0000 1.9713
0.0000 1.9713 1.9713
2.9569 2.9569 2.9569
4.9282 4.9282 4.9282
```

calculated total energy: -0.19426 Ry/atom
space group: Fd-3m, No. 227

(3)
Compound: NaFe5
Source: OQMD
Functional: GGA-PBE
Structure: relaxed

Cell and atoms, written as POSCAR:
```
NaFe5
1.0
4.9140 0.0000 0.0000
-2.4570 4.2556 0.0000
0.0000 0.0000 3.8912
Na Fe
1 5
Cartesian
0.0000 0.0000 0.0000
-1.2285 2.1278 1.9456
0.0000 2.8371 0.0000
2.4570 0.0000 1.9456
1.2285 2.1278 1.9456
2.4570 1.4185 0.0000
```

calculated total energy: -0.49138 Ry/atom
space group: P6/mmm, No. 191

(4)
Compound: Na2Fe5
Source: OQMD
Functional: GGA-PBE
Structure: relaxed

Cell and atoms, written as POSCAR:
```
Na2Fe5
1.0
2.0261 1.1698 7.7291
-2.0261 1.1698 7.7291
0.0000 -2.3396 7.7291
Na Fe
2 5
Cartesian
0.0000 0.0000 0.0000
0.0000 0.0000 9.1448
0.0000 0.0000 3.3600
0.0000 0.0000 5.6448
0.0000 0.0000 11.8136
0.0000 0.0000 14.0337
0.0000 0.0000 20.2476
```

calculated total energy: -0.42593 Ry/atom
space group: R3m, No. 160

(5)
Compound: Na4Fe
Source: OQMD
Functional: GGA-PBE
Structure: relaxed

Cell and atoms, written as POSCAR:
```
Na4Fe
1.0
4.9136 0.0000 0.0000
0.0198 7.2975 0.0000
0.0199 0.1436 7.2963
Na Fe
8 2
Cartesian
0.0066 1.1291 1.2508
4.9466 6.3120 6.0455
0.0244 4.8903 2.5002
2.4698 1.2842 6.1131
2.4710 2.4563 2.5292
2.4823 4.9847 4.7670
2.4835 6.1569 1.1832
4.9288 2.5507 4.7961
1.2052 3.7936 7.2951
3.7481 3.6475 0.0012
```

calculated total energy: -0.16835 Ry/atom
space group: P-1, No. 2

(6)
Compound: Na3Fe2
Source: OQMD
Functional: GGA-PBE
Structure: relaxed

Cell and atoms, written as POSCAR:
```
Na3Fe2
1.0
3.0901 1.7841 6.7921
-3.0901 1.7841 6.7921
0.0000 -3.5681 6.7921
Na Fe
6 4
Cartesian
-1.5885 0.8167 8.4901
-1.5016 -0.9673 11.8862
0.0870 -1.7841 8.4901
-0.0870 1.7841 11.8862
1.5016 0.9673 8.4901
1.5885 -0.8167 11.8862
0.0000 0.0000 4.0568
0.0000 0.0000 6.1314
0.0000 0.0000 14.2449
0.0000 0.0000 16.3196
```

calculated total energy: -0.24357 Ry/atom
space group: R-3c, No. 167

(7)
Compound: Na2Fe
Source: OQMD
Functional: GGA-PBE
Structure: relaxed

Cell and atoms, written as POSCAR:
```
Na2Fe
1.0
6.1368 0.0000 0.0000
-3.0684 5.3146 0.0000
0.0000 0.0000 8.1751
Na Fe
8 4
Cartesian
0.0000 0.0000 0.0000
0.0000 0.0000 4.0876
0.0000 1.9504 2.0438
-1.3793 4.3394 2.0438
1.6891 0.9752 6.1314
1.3793 4.3394 2.0438
4.4477 0.9752 6.1314
3.0684 3.3642 6.1314
0.0000 3.5431 5.0608
0.0000 3.5431 7.2019
3.0684 1.7715 0.9732
3.0684 1.7715 3.1144
```

calculated total energy: -0.20714 Ry/atom
space group: P6_3/mmc, No. 194

(8)
Compound: NaNbFePb
Source: OQMD
Functional: GGA-PBE
Structure: relaxed

Cell and atoms, written as POSCAR:
```
NaNbFePb
1.0
0.0000 3.3193 3.3193
3.3193 0.0000 3.3193
3.3193 3.3193 0.0000
Na Nb Fe Pb
1 1 1 1
Cartesian
0.0000 0.0000 0.0000
3.3193 3.3193 3.3193
1.6597 1.6597 1.6597
4.9790 4.9790 4.9790
```

energy relative to the lowest polymorph listed for this composition: 81 meV per atom
calculated total energy: -0.38665 Ry/atom
space group: F-43m, No. 216

(9)
Compound: NaNbFePb
Source: OQMD
Functional: GGA-PBE
Structure: relaxed

Cell and atoms, written as POSCAR:
```
NaNbFePb
1.0
0.0000 3.2361 3.2361
3.2361 0.0000 3.2361
3.2361 3.2361 0.0000
Na Nb Fe Pb
1 1 1 1
Cartesian
0.0000 0.0000 0.0000
1.6180 1.6180 1.6180
3.2361 3.2361 3.2361
4.8541 4.8541 4.8541
```

energy relative to the lowest polymorph listed for this composition: 0 meV per atom
calculated total energy: -0.39262 Ry/atom
space group: F-43m, No. 216

(10)
Compound: NaNbFeS3
Source: OQMD
Functional: GGA-PBE
Structure: relaxed

Cell and atoms, written as POSCAR:
```
NaNbFeS3
1.0
1.7056 -6.7918 0.0000
1.7056 6.7918 0.0000
0.0000 0.0000 9.3419
Na Nb Fe S
2 2 2 6
Cartesian
1.7056 3.4189 7.0064
1.7056 -3.4189 2.3355
0.0000 0.0000 0.0000
0.0000 0.0000 4.6710
1.7056 0.4044 2.3355
1.7056 -0.4044 7.0064
1.7056 5.6977 2.3355
1.7056 1.7638 0.5687
1.7056 1.7638 4.1023
1.7056 -1.7638 5.2396
1.7056 -1.7638 8.7733
1.7056 -5.6977 7.0064
```

energy relative to the lowest polymorph listed for this composition: 37 meV per atom
calculated total energy: -0.46005 Ry/atom
space group: Cmcm, No. 63

(11)
Compound: NaNbFeS3
Source: OQMD
Functional: GGA-PBE
Structure: relaxed

Cell and atoms, written as POSCAR:
```
NaNbFeS3
1.0
7.5012 0.0000 0.0000
0.0000 3.4394 0.0000
-3.3261 0.0000 8.6047
Na Nb Fe S
2 2 2 6
Cartesian
1.0335 0.8599 1.8756
3.1416 2.5796 6.7291
-0.7331 2.5796 5.8235
4.9082 0.8599 2.7811
0.1453 0.8599 7.7069
4.0297 2.5796 0.8978
-0.7603 2.5796 3.2145
-1.2963 2.5796 8.2499
1.0302 0.8599 5.6298
3.1449 2.5796 2.9749
5.4714 0.8599 0.3548
4.9354 0.8599 5.3902
```

energy relative to the lowest polymorph listed for this composition: 0 meV per atom
calculated total energy: -0.46274 Ry/atom
space group: P2_1/m, No. 11

(12)
Compound: NaNbFeSe3
Source: OQMD
Functional: GGA-PBE
Structure: relaxed

Cell and atoms, written as POSCAR:
```
NaNbFeSe3
1.0
1.7664 -7.1671 0.0000
1.7664 7.1671 0.0000
0.0000 0.0000 9.6513
Na Nb Fe Se
2 2 2 6
Cartesian
1.7664 3.6722 7.2385
1.7664 -3.6722 2.4128
0.0000 0.0000 0.0000
0.0000 0.0000 4.8256
1.7664 0.3913 2.4128
1.7664 -0.3913 7.2385
1.7664 5.9326 2.4128
1.7664 1.8834 0.5754
1.7664 1.8834 4.2502
1.7664 -1.8834 5.4010
1.7664 -1.8834 9.0759
1.7664 -5.9326 7.2385
```

energy relative to the lowest polymorph listed for this composition: 53 meV per atom
calculated total energy: -0.42336 Ry/atom
space group: Cmcm, No. 63